# 1
First-principles (GGA-PBE) data for Nd3AlSn after structural relaxation, as listed in Alexandria via LeMat-Bulk.

a b c (Å): 5.485 8.081 8.081
angles (deg): 119.99 90.00 90.00
Element x y z (fractional)
Al 0.500 0.000 0.000
Al 0.000 0.000 0.000
Sn 0.750 0.667 0.333
Sn 0.250 0.333 0.667
Nd 0.750 0.191 0.383
Nd 0.750 0.617 0.809
Nd 0.250 0.809 0.617
Nd 0.750 0.191 0.809
Nd 0.250 0.809 0.191
Nd 0.250 0.383 0.191

## Properties
**Energy relative to the elements**: -251.4 meV per atom
**Crystal system**: hexagonal
**M_tot**: 0.0 μB/cell

=====

# 2
First-principles (GGA-PBE) data for MnW2Cl after structural relaxation, as listed in Alexandria via LeMat-Bulk.

a b c (Å): 2.809 2.809 8.715
angles (deg): 90.00 90.00 115.92
Site moments in Bohr magnetons follow the coordinates.
Element x y z (fractional)
Mn 0.500 0.500 0.750  1.95
W 0.000 0.000 0.515  -0.17
W 0.000 0.000 0.985  -0.17
Cl 0.500 0.500 0.250  -0.01

## Properties
**Energy above the most stable polymorph in this dataset**: 29.1 kJ/mol of atoms
**Uncorrected formation energy**: 0.611 eV per atom
**Crystal system**: orthorhombic
**M_tot**: 1.6 μB/cell

=====

# 3
First-principles (GGA-PBE) data for Li2CaBe after structural relaxation, as listed in Alexandria via LeMat-Bulk.

a b c (Å): 4.821 3.575 5.042
angles (deg): 82.95 90.00 90.00
Element x y z (fractional)
Li 0.000 0.059 0.057
Li 0.000 0.441 0.443
Ca 0.500 0.750 0.750
Be 0.500 0.250 0.250

## Properties
**Energy relative to the elements**: 327.2 meV per atom
**Crystal system**: monoclinic
**M_tot**: 0.0 μB/cell

=====

# 4
First-principles (GGA-PBE) data for Dy5PtS4 after structural relaxation, as listed in Alexandria via LeMat-Bulk.

a b c (Å): 3.936 3.936 14.408
angles (deg): 97.85 97.85 90.00
Element x y z (fractional)
S 0.604 0.604 0.209
S 0.200 0.200 0.399
S 0.800 0.800 0.601
S 0.396 0.396 0.791
Dy 0.500 0.500 0.000
Dy 0.297 0.297 0.595
Dy 0.102 0.102 0.204
Dy 0.898 0.898 0.796
Dy 0.703 0.703 0.405
Pt 0.000 0.000 0.000

## Properties
**Uncorrected formation energy**: -1.820 eV per atom
**Crystal system**: tetragonal
**M_tot**: 0.0 μB/cell

=====

# 5
First-principles (GGA-PBE) data for PuPaTe2 after structural relaxation, as listed in Alexandria via LeMat-Bulk.

a b c (Å): 4.092 4.092 8.555
angles (deg): 76.16 76.16 60.00
Site moments in Bohr magnetons follow the coordinates.
Element x y z (fractional)
Pa 0.668 0.668 0.995  -1.11
Te 0.251 0.251 0.246  -0.02
Te 0.083 0.083 0.752  -0.02
Pu 0.498 0.498 0.506  5.59

## Properties
**Energy above the most stable polymorph in this dataset**: 3.8 kJ/mol of atoms
**Uncorrected formation energy**: -0.789 eV per atom
**Crystal system**: trigonal
**M_tot**: 4.6 μB/cell

=====

# 6
First-principles (GGA-PBE) data for LiP3F after structural relaxation, as listed in Alexandria via LeMat-Bulk.

a b c (Å): 4.374 4.374 4.374
angles (deg): 90.00 90.00 90.00
Element x y z (fractional)
P 0.500 0.000 0.000
P 0.000 0.000 0.500
P 0.000 0.500 0.000
Li 0.500 0.500 0.500
F 0.000 0.000 0.000

## Properties
**Energy above the most stable polymorph in this dataset**: 0.0 kJ/mol of atoms
**Uncorrected formation energy**: 0.487 eV per atom
**Crystal system**: cubic
**M_tot**: 0.0 μB/cell

=====

# 7
First-principles (GGA-PBE) data for Bi2Te2Pd7Au after structural relaxation, as listed in Alexandria via LeMat-Bulk.

a b c (Å): 3.982 3.982 16.476
angles (deg): 83.27 83.27 90.01
Element x y z (fractional)
Pd 0.938 0.438 0.127
Pd 0.438 0.938 0.127
Pd 0.500 0.500 0.000
Pd 0.062 0.562 0.873
Pd 0.562 0.062 0.873
Pd 0.706 0.706 0.587
Pd 0.294 0.294 0.413
Bi 0.618 0.618 0.758
Bi 0.382 0.382 0.242
Te 0.791 0.791 0.420
Te 0.209 0.209 0.580
Au 0.000 0.000 0.000

## Properties
**Uncorrected formation energy**: -0.195 eV per atom
**Crystal system**: monoclinic
**M_tot**: 0.0 μB/cell

=====

# 8
First-principles (GGA-PBE) data for Pr5PaRh6 after structural relaxation, as listed in Alexandria via LeMat-Bulk.

a b c (Å): 4.524 7.557 8.597
angles (deg): 77.69 74.75 89.99
Element x y z (fractional)
Rh 0.869 0.167 0.263
Rh 0.131 0.833 0.737
Rh 0.502 0.208 0.998
Rh 0.498 0.792 0.002
Rh 0.139 0.308 0.723
Rh 0.861 0.692 0.277
Pa 0.000 0.000 0.000
Pr 0.677 0.091 0.646
Pr 0.323 0.909 0.354
Pr 0.671 0.586 0.657
Pr 0.329 0.414 0.343
Pr 0.000 0.500 0.000

## Properties
**Energy relative to the elements**: -727.7 meV per atom
**Crystal system**: monoclinic
**M_tot**: 0.0 μB/cell